TmGa2Ni3: PBEsol geometry, SCAN.

Results
- magnetization (μB/f.u.) = 0.0
- E_tot (eV/atom) = -22.776
- DOS(E_F) (states/eV/atom) = 0.419
- energy of formation from the pure elements (eV/atom) = -0.60

abc: 5.1013 5.1013 3.7660
angles: 90.00 90.00 120.00
Space group P6/mmm (No. 191)
One atom of each set of equivalent atoms:
Tm (0.0000, 0.0000, 0.0000) (multiplicity 1)
Ga (0.3333, 0.6667, 0.0000) (multiplicity 2)
Ni (0.0000, 0.5000, 0.5000) (multiplicity 3)

GaNiW3: PBEsol geometry, SCAN.

Results
- magnetization (μB/f.u.) = 0.0
- E_tot (eV/atom) = -46.713
- DOS(E_F) (states/eV/atom) = 0.567
- energy of formation from the pure elements (eV/atom) = 1.60

abc: 4.423 4.423 4.423
angles: 90.00 90.00 90.00
Space group Pm-3m (No. 221)
One atom of each set of equivalent atoms:
Ga (0.000, 0.000, 0.000) (multiplicity 1)
Ni (0.500, 0.500, 0.500) (multiplicity 1)
W (0.000, 0.500, 0.500) (multiplicity 3)